No. 1
# YGeOs (GGA-PBE, relaxed)
# ρ (g/cm³): 9.07
# Raw total energy (eV/atom): -7.46
data_YGeOs
_cell_length_a 6.364
_cell_length_b 6.364
_cell_length_c 6.364
_cell_angle_alpha 90.00
_cell_angle_beta 90.00
_cell_angle_gamma 90.00
_symmetry_space_group_name_H-M 'F -4 3 m'
_symmetry_Int_Tables_number 216
_symmetry_space_group_name_Hall 'F -4 2 3'
loop_
_atom_site_label
_atom_site_type_symbol
_atom_site_fract_x
_atom_site_fract_y
_atom_site_fract_z
_atom_site_occupancy
Y1 Y 0.000 0.000 0.000 1
Ge1 Ge 0.000 0.000 0.500 1
Os1 Os 0.250 0.250 0.750 1

No. 2
# Y3Ge4Os2 (GGA-PBE, relaxed)
# ρ (g/cm³): 8.62
# Raw total energy (eV/atom): -7.34
data_Y3Ge4Os2
_cell_length_a 10.762
_cell_length_b 4.366
_cell_length_c 8.170
_cell_angle_alpha 90.00
_cell_angle_beta 109.68
_cell_angle_gamma 90.00
_symmetry_space_group_name_H-M 'C 1 2/m 1'
_symmetry_Int_Tables_number 12
_symmetry_space_group_name_Hall '-C 2y'
loop_
_atom_site_label
_atom_site_type_symbol
_atom_site_fract_x
_atom_site_fract_y
_atom_site_fract_z
_atom_site_occupancy
Y1 Y 0.000 0.000 0.000 1
Y2 Y 0.121 0.500 0.699 1
Ge1 Ge 0.093 0.000 0.405 1
Ge2 Ge 0.213 0.500 0.079 1
Os1 Os 0.181 0.500 0.361 1

Please write out number 2 again, unchanged.
# Y3Ge4Os2 (GGA-PBE, relaxed)
# ρ (g/cm³): 8.62
# Raw total energy (eV/atom): -7.34
data_Y3Ge4Os2
_cell_length_a 10.762
_cell_length_b 4.366
_cell_length_c 8.170
_cell_angle_alpha 90.00
_cell_angle_beta 109.68
_cell_angle_gamma 90.00
_symmetry_space_group_name_H-M 'C 1 2/m 1'
_symmetry_Int_Tables_number 12
_symmetry_space_group_name_Hall '-C 2y'
loop_
_atom_site_label
_atom_site_type_symbol
_atom_site_fract_x
_atom_site_fract_y
_atom_site_fract_z
_atom_site_occupancy
Y1 Y 0.000 0.000 0.000 1
Y2 Y 0.121 0.500 0.699 1
Ge1 Ge 0.093 0.000 0.405 1
Ge2 Ge 0.213 0.500 0.079 1
Os1 Os 0.181 0.500 0.361 1